A:
AcScP2 | PBE | relaxed

a = 5.051 Å, b = 5.051 Å, c = 3.577 Å
α = 90.00°, β = 90.00°, γ = 90.00°
Fractional coordinates of all 4 atoms:
Ac (0.000, 0.000, 0.000)
Sc (0.500, 0.500, 0.000)
P (0.000, 0.500, 0.500)
P (0.500, 0.000, 0.500)

Output
* crystal system: tetragonal
* space-group type: P4/mmm
* N(E_F): 1.84 states/eV/cell

B:
AcScP2 | PBE | relaxed

a = 5.013 Å, b = 5.013 Å, c = 5.013 Å
α = 60.00°, β = 60.00°, γ = 60.00°
Fractional coordinates of all 4 atoms:
Ac (0.000, 0.000, 0.000)
Sc (0.500, 0.500, 0.500)
P (0.250, 0.250, 0.250)
P (0.750, 0.750, 0.750)

Output
* crystal system: cubic
* space-group type: Fm-3m
* N(E_F): 1.35 states/eV/cell

In terms of stability, B leads; the second structure lies 100 meV/atom higher.

A:
Ac2PSe | PBE | relaxed

a = 5.379 Å, b = 5.379 Å, c = 5.379 Å
α = 60.00°, β = 60.00°, γ = 60.00°
Fractional coordinates of all 4 atoms:
Ac (0.250, 0.250, 0.250)
Ac (0.750, 0.750, 0.750)
P (0.000, 0.000, 0.000)
Se (0.500, 0.500, 0.500)

Output
* crystal system: cubic
* space-group type: Fm-3m
* N(E_F): 2.24 states/eV/cell

B:
Ac2PSe | PBE | relaxed

a = 7.799 Å, b = 7.799 Å, c = 7.799 Å
α = 33.04°, β = 33.04°, γ = 33.04°
Fractional coordinates of all 4 atoms:
Ac (0.244, 0.244, 0.244)
Ac (0.756, 0.756, 0.756)
P (0.500, 0.500, 0.500)
Se (0.000, 0.000, 0.000)

Output
* crystal system: trigonal
* space-group type: R-3m
* N(E_F): 1.70 states/eV/cell

C:
Ac2PSe | PBE | relaxed

a = 8.113 Å, b = 8.113 Å, c = 8.113 Å
α = 31.15°, β = 31.15°, γ = 31.15°
Fractional coordinates of all 4 atoms:
Ac (0.000, 0.000, 0.000)
Ac (0.183, 0.183, 0.183)
P (0.592, 0.592, 0.592)
Se (0.424, 0.424, 0.424)

Output
* crystal system: trigonal
* space-group type: R3m
* N(E_F): 2.54 states/eV/cell

In terms of stability, B leads; the second structure lies 84 meV/atom higher.